Density functional theory data (PBE-GGA) for K4YP after structural relaxation.

Structure (POSCAR):
```
K4YP
1.0
0.0000 4.9986 4.9986
4.9986 0.0000 4.9986
4.9986 4.9986 0.0000
K Y P
4 1 1
direct
0.1222 0.1222 0.1222
0.1222 0.1222 0.6335
0.1222 0.6335 0.1222
0.6335 0.1222 0.1222
0.5000 0.5000 0.5000
0.7500 0.7500 0.7500
```

Results
Space group ... F-43m (216)
Energy of formation ... 0.699 eV/atom